Entry 1:
VASP calculation (PBE-GGA) on crystalline PaCrOs at its relaxed geometry.

Unit cell a=3.9406 b=3.9406 c=9.0925 alpha=90.00 beta=90.00 gamma=120.00
Space group P6_3mc (No. 186)
Asymmetric unit:
Pa 0.3333 0.6667 0.0000 (multiplicity 2)
Cr 0.0000 0.0000 0.2623 (multiplicity 2)
Os 0.3333 0.6667 0.6771 (multiplicity 2)

Values from the calculation:
offset from the most stable computed form = 234 meV/atom
ΔH_f (0 K) = 0.332 eV per atom
volume = 122.3 Å³/cell

***

Entry 2:
VASP calculation (PBE-GGA) on crystalline PuPaCrOs at its relaxed geometry.

Unit cell a=6.804 b=6.804 c=6.804 alpha=90.00 beta=90.00 gamma=90.00
Space group F-43m (No. 216)
Asymmetric unit:
Pu 0.000 0.000 0.000 (multiplicity 4)
Pa 0.000 0.000 0.500 (multiplicity 4)
Cr 0.250 0.250 0.750 (multiplicity 4)
Os 0.250 0.250 0.250 (multiplicity 4)

Values from the calculation:
ΔH_f (0 K) = 0.095 eV per atom
volume = 315.0 Å³/cell

***

Entry 3:
VASP calculation (PBE-GGA) on crystalline PaCrSbOs at its relaxed geometry.

Unit cell a=6.662 b=6.662 c=6.662 alpha=90.00 beta=90.00 gamma=90.00
Space group F-43m (No. 216)
Asymmetric unit:
Pa 0.000 0.000 0.000 (multiplicity 4)
Cr 0.250 0.250 0.750 (multiplicity 4)
Sb 0.000 0.000 0.500 (multiplicity 4)
Os 0.250 0.250 0.250 (multiplicity 4)

Values from the calculation:
E_form (uncorrected) = 12.8 kJ/mol of atoms
volume = 295.7 Å³/cell

***

Entry 4:
VASP calculation (PBE-GGA) on crystalline PaCrSi2Os at its relaxed geometry.

Unit cell a=4.079 b=4.079 c=9.969 alpha=90.00 beta=90.00 gamma=90.00
Space group I-4m2 (No. 119)
Asymmetric unit:
Pa 0.000 0.000 0.000 (multiplicity 2)
Cr 0.000 0.500 0.750 (multiplicity 2)
Si 0.000 0.000 0.380 (multiplicity 4)
Os 0.000 0.500 0.250 (multiplicity 2)

Values from the calculation:
E_form (uncorrected) = -54.9 kJ/mol of atoms
volume = 165.8 Å³/cell

***

Entry 5:
VASP calculation (PBE-GGA) on crystalline PaCrSnOs at its relaxed geometry.

Unit cell a=6.668 b=6.668 c=6.668 alpha=90.00 beta=90.00 gamma=90.00
Space group F-43m (No. 216)
Asymmetric unit:
Pa 0.000 0.000 0.000 (multiplicity 4)
Cr 0.250 0.250 0.750 (multiplicity 4)
Sn 0.000 0.000 0.500 (multiplicity 4)
Os 0.250 0.250 0.250 (multiplicity 4)

Values from the calculation:
ΔH_f (0 K) = 0.069 eV per atom
volume = 296.4 Å³/cell

***

Entry 6:
VASP calculation (PBE-GGA) on crystalline PaZnCrOs at its relaxed geometry.

Unit cell a=6.498 b=6.498 c=6.498 alpha=90.00 beta=90.00 gamma=90.00
Space group F-43m (No. 216)
Asymmetric unit:
Pa 0.000 0.000 0.000 (multiplicity 4)
Zn 0.000 0.000 0.500 (multiplicity 4)
Cr 0.250 0.250 0.750 (multiplicity 4)
Os 0.250 0.250 0.250 (multiplicity 4)

Values from the calculation:
ΔH_f (0 K) = 0.047 eV per atom
volume = 274.4 Å³/cell

***

Entry 7:
VASP calculation (PBE-GGA) on crystalline CrOsPb at its relaxed geometry.

Unit cell a=2.9770 b=2.9770 c=6.8372 alpha=90.00 beta=90.00 gamma=120.00
Space group P3m1 (No. 156)
Asymmetric unit:
Cr 0.0000 0.0000 0.0000 (multiplicity 1)
Os 0.3333 0.6667 0.2581 (multiplicity 1)
Pb 0.6667 0.3333 0.6422 (multiplicity 1)

Values from the calculation:
ΔH_f (0 K) = 0.787 eV per atom
volume = 52.5 Å³/cell

***

Entry 8:
VASP calculation (PBE-GGA) on crystalline CrOs2Pb at its relaxed geometry.

Unit cell a=2.941 b=2.959 c=7.783 alpha=90.00 beta=100.43 gamma=90.00
Space group P2/m (No. 10)
Asymmetric unit:
Cr 0.000 0.000 0.000 (multiplicity 1)
Os 0.399 0.500 0.806 (multiplicity 2)
Pb 0.000 0.000 0.500 (multiplicity 1)

Values from the calculation:
ΔH_f (0 K) = 0.605 eV per atom
volume = 66.6 Å³/cell

***

Entry 9:
VASP calculation (PBE-GGA) on crystalline Cr3OsPb at its relaxed geometry.

Unit cell a=4.646 b=4.646 c=4.646 alpha=90.00 beta=90.00 gamma=90.00
Space group Pm-3m (No. 221)
Asymmetric unit:
Cr 0.000 0.000 0.500 (multiplicity 3)
Os 0.500 0.500 0.500 (multiplicity 1)
Pb 0.000 0.000 0.000 (multiplicity 1)

Values from the calculation:
offset from the most stable computed form = 1878 meV/atom
ΔH_f (0 K) = 2.994 eV per atom
volume = 100.3 Å³/cell

***

Entry 10:
VASP calculation (PBE-GGA) on crystalline CrOs2Pb at its relaxed geometry.

Unit cell a=7.293 b=7.293 c=5.316 alpha=90.00 beta=90.00 gamma=90.00
Space group I-42d (No. 122)
Asymmetric unit:
Cr 0.000 0.000 0.000 (multiplicity 4)
Os 0.185 0.750 0.125 (multiplicity 8)
Pb 0.000 0.000 0.500 (multiplicity 4)

Values from the calculation:
ΔH_f (0 K) = 1.013 eV per atom
volume = 282.7 Å³/cell

***

Entry 11:
VASP calculation (PBE-GGA) on crystalline CrOs2Pb at its relaxed geometry.

Unit cell a=2.934 b=2.934 c=7.545 alpha=90.00 beta=90.00 gamma=90.00
Space group P4/mmm (No. 123)
Asymmetric unit:
Cr 0.000 0.000 0.000 (multiplicity 1)
Os 0.500 0.500 0.202 (multiplicity 2)
Pb 0.000 0.000 0.500 (multiplicity 1)

Values from the calculation:
ΔH_f (0 K) = 0.639 eV per atom
volume = 64.9 Å³/cell

***

Entry 12:
VASP calculation (PBE-GGA) on crystalline CrOs2Pb at its relaxed geometry.

Unit cell a=3.032 b=4.597 c=4.692 alpha=90.00 beta=90.00 gamma=90.00
Space group Pmmm (No. 47)
Asymmetric unit:
Cr 0.000 0.000 0.000 (multiplicity 1)
Os 0.000 0.500 0.500 (multiplicity 1)
Os 0.500 0.500 0.000 (multiplicity 1)
Pb 0.500 0.000 0.500 (multiplicity 1)

Values from the calculation:
ΔH_f (0 K) = 0.970 eV per atom
volume = 65.4 Å³/cell

***

These records have ρ values of 12854 15126 13365 10603 13264 13039 14221 15945 9164 15026 16358 16244 kg/m3, in the order they appear.
These records have final energy values of -9.785 -11.076 -8.485 -8.808 -8.519 -7.859 -7.400 -8.343 -5.768 -7.935 -8.309 -7.978 eV/atom, in the order they appear.